No. 1
# YHO2

Crystalline YHO2 at its relaxed geometry (PBEsol, Alexandria via LeMat-Bulk).

```
YHO2
1.0
-0.607 0.115 -3.256
-2.820 -1.255 -1.205
-3.641 4.617 -0.845
O Y H
2 1 1
Cartesian
-4.318 0.642 -4.231
-2.750 2.834 -1.074
0.000 0.000 0.000
-3.534 1.738 -2.653
```

Properties
Fermi-level density of states: 2.039 states/eV/cell
raw total energy: -0.367 Ry/atom
spin magnetization: 0.25 μB per atom

No. 2
# YHO2

Crystalline YHO2 at its relaxed geometry (PBEsol, Alexandria via LeMat-Bulk).

```
YHO2
1.0
-1.414 -1.752 2.819
2.914 -2.772 -0.262
2.064 4.179 3.633
H O Y
2 4 2
Cartesian
0.000 0.000 0.000
-0.707 -0.876 1.410
2.934 -0.329 2.421
2.073 -2.536 0.618
1.492 2.190 5.572
0.632 -0.016 3.769
1.534 -1.909 3.045
2.031 1.563 3.145
```

Properties
Fermi-level density of states: 0.000 states/eV/cell
raw total energy: -0.573 Ry/atom
spin magnetization: 0.00 μB per atom